No. 1
The following is a DFT calculation (GGA-PBE) of a relaxed Sm6Zn2N crystal.

The uncorrected formation energy is -0.43 eV per atom. As for the crystal system: monoclinic. The calculation puts the final energy at -4.7797 eV/atom.

The structure belongs to space group P2_1/c (No. 14); the cell edges are 6.6842, 7.0897 and 12.0330 Å and the angles 90.00°, 123.41° and 90.00°. The inequivalent atoms are Sm at (0.1331, 0.0182, 0.2401), Sm at (0.2376, 0.7112, 0.0460), Sm at (0.3453, 0.1972, 0.0483), Zn at (0.2928, 0.0687, 0.7495) and N at (0.0000, 0.0000, 0.0000).

---

No. 2
The following is a DFT calculation (GGA-PBE) of a relaxed SmZrZnN3 crystal.

The uncorrected formation energy is -0.94 eV per atom. As for the crystal system: monoclinic. The calculation puts the final energy at -7.5299 eV/atom.

The structure belongs to space group P2_1/m (No. 11); the cell edges are 6.9742, 3.3173 and 7.5465 Å and the angles 90.00°, 99.98° and 90.00°. The inequivalent atoms are Sm at (0.1814, 0.2500, 0.2212), Zr at (0.3429, 0.7500, 0.8628), Zn at (0.1236, 0.2500, 0.5906), N at (0.1315, 0.2500, 0.8643), N at (0.1977, 0.7500, 0.4671) and N at (0.4297, 0.7500, 0.1417).

---

No. 3
The following is a DFT calculation (GGA-PBE) of a relaxed SmZrN crystal.

The uncorrected formation energy is -0.96 eV per atom. As for the crystal system: trigonal. The calculation puts the final energy at -8.1584 eV/atom. The offset from the most stable computed form comes out at 39.3 kJ/mol of formula units.

The structure belongs to space group P3m1 (No. 156); the cell edges are 3.4141, 3.4141 and 5.8117 Å and the angles 90.00°, 90.00° and 120.00°. The inequivalent atoms are Sm at (0.0000, 0.0000, 0.0000), Zr at (0.6667, 0.3333, 0.4548) and N at (0.3333, 0.6667, 0.2623).